(1)
AcAlHg | PBE | relaxed

Properties
Polymorph energy (0 for the lowest one) = 0.2028 eV/atom
E_form = -0.213 eV per atom
Total magnetic moment = 0.00 μB per atom
DOS at the Fermi energy = 2.3 states/eV/f.u.

Unit cell a=9.026 b=8.300 c=7.087 alpha=71.33 beta=60.61 gamma=48.06
Atoms (fractional coordinates):
Ac 0.000 0.000 0.000
Ac 0.000 0.000 0.500
Ac 0.000 0.500 0.000
Ac 0.500 0.000 0.000
Al 0.251 0.499 0.251
Al 0.499 0.251 0.499
Al 0.501 0.749 0.501
Al 0.749 0.501 0.749
Hg 0.205 0.205 0.545
Hg 0.455 0.455 0.795
Hg 0.545 0.545 0.205
Hg 0.795 0.795 0.455

***

(2)
Ac3AlHg2 | PBE | relaxed

Properties
Polymorph energy (0 for the lowest one) = 0.0181 eV/atom
E_form = -0.372 eV per atom
Total magnetic moment = 0.00 μB per atom
DOS at the Fermi energy = 7.8 states/eV/f.u.

Unit cell a=5.677 b=5.677 c=14.014 alpha=90.00 beta=90.00 gamma=120.00
Atoms (fractional coordinates):
Ac 0.000 0.000 0.246
Ac 0.000 0.000 0.754
Ac 0.333 0.667 0.413
Ac 0.333 0.667 0.917
Ac 0.667 0.333 0.083
Ac 0.667 0.333 0.587
Al 0.333 0.667 0.165
Al 0.667 0.333 0.835
Hg 0.000 0.000 0.000
Hg 0.000 0.000 0.500
Hg 0.333 0.667 0.669
Hg 0.667 0.333 0.331

***

(3)
Ac8Al2Hg | PBE | relaxed

Properties
E_form = -0.133 eV per atom
Total magnetic moment = 0.00 μB per atom
DOS at the Fermi energy = 13.4 states/eV/f.u.

Unit cell a=10.410 b=10.410 c=7.793 alpha=103.45 beta=103.45 gamma=30.67
Atoms (fractional coordinates):
Ac 0.025 0.025 0.266
Ac 0.204 0.204 0.811
Ac 0.335 0.335 0.535
Ac 0.405 0.405 0.035
Ac 0.595 0.595 0.965
Ac 0.665 0.665 0.465
Ac 0.796 0.796 0.189
Ac 0.975 0.975 0.734
Al 0.188 0.188 0.223
Al 0.812 0.812 0.777
Hg 0.500 0.500 0.500

***

(4)
AcAl2Hg2 | PBE | relaxed

Properties
Polymorph energy (0 for the lowest one) = 0.0000 eV/atom
E_form = -0.367 eV per atom
Total magnetic moment = 0.00 μB per atom
DOS at the Fermi energy = 1.4 states/eV/f.u.

Unit cell a=4.644 b=4.644 c=11.186 alpha=90.00 beta=90.00 gamma=90.00
Atoms (fractional coordinates):
Ac 0.250 0.250 0.250
Ac 0.750 0.750 0.750
Al 0.250 0.250 0.633
Al 0.250 0.750 0.000
Al 0.750 0.250 0.000
Al 0.750 0.750 0.367
Hg 0.250 0.250 0.869
Hg 0.250 0.750 0.500
Hg 0.750 0.250 0.500
Hg 0.750 0.750 0.131

***

(5)
Ac3AlHg | PBE | relaxed

Properties
Polymorph energy (0 for the lowest one) = 0.0000 eV/atom
E_form = -0.278 eV per atom
Total magnetic moment = 0.00 μB per atom
DOS at the Fermi energy = 5.5 states/eV/f.u.

Unit cell a=4.276 b=9.128 c=9.416 alpha=87.55 beta=89.96 gamma=76.51
Atoms (fractional coordinates):
Ac 0.055 0.389 0.206
Ac 0.237 0.026 0.815
Ac 0.402 0.694 0.426
Ac 0.598 0.306 0.574
Ac 0.763 0.974 0.185
Ac 0.945 0.611 0.794
Al 0.217 0.068 0.438
Al 0.783 0.932 0.562
Hg 0.402 0.696 0.060
Hg 0.598 0.304 0.940

***

(6)
Ac2Al3Hg6 | PBE | relaxed

Properties
E_form = -0.265 eV per atom
Total magnetic moment = 0.00 μB per atom
DOS at the Fermi energy = 7.5 states/eV/f.u.

Unit cell a=8.308 b=8.308 c=4.720 alpha=90.00 beta=90.00 gamma=120.00
Atoms (fractional coordinates):
Ac 0.333 0.667 0.000
Ac 0.667 0.333 0.000
Al 0.000 0.350 0.500
Al 0.350 0.000 0.500
Al 0.650 0.650 0.500
Hg 0.000 0.204 0.000
Hg 0.000 0.672 0.500
Hg 0.204 0.000 0.000
Hg 0.328 0.328 0.500
Hg 0.672 0.000 0.500
Hg 0.796 0.796 0.000

***

(7)
Ac3AlHg2 | PBE | relaxed

Properties
Polymorph energy (0 for the lowest one) = 0.0000 eV/atom
E_form = -0.390 eV per atom
Total magnetic moment = 0.04 μB per atom
DOS at the Fermi energy = 5.2 states/eV/f.u.

Unit cell a=4.000 b=4.000 c=12.128 alpha=90.00 beta=90.00 gamma=90.00
Atoms (fractional coordinates):
Ac 0.000 0.000 0.000
Ac 0.000 0.000 0.342
Ac 0.000 0.000 0.658
Al 0.500 0.500 0.500
Hg 0.500 0.500 0.170
Hg 0.500 0.500 0.830

***

(8)
Ac2Al6Hg3 | PBE | relaxed

Properties
E_form = -0.283 eV per atom
Total magnetic moment = 0.00 μB per atom
DOS at the Fermi energy = 4.9 states/eV/f.u.

Unit cell a=8.163 b=8.163 c=4.485 alpha=90.00 beta=90.00 gamma=120.00
Atoms (fractional coordinates):
Ac 0.333 0.667 0.000
Ac 0.667 0.333 0.000
Al 0.000 0.297 0.500
Al 0.000 0.813 0.000
Al 0.187 0.187 0.000
Al 0.297 0.000 0.500
Al 0.703 0.703 0.500
Al 0.813 0.000 0.000
Hg 0.000 0.629 0.500
Hg 0.371 0.371 0.500
Hg 0.629 0.000 0.500

***

(9)
Ac2Al5Hg3 | PBE | relaxed

Properties
E_form = -0.363 eV per atom
Total magnetic moment = 0.00 μB per atom
DOS at the Fermi energy = 3.2 states/eV/f.u.

Unit cell a=9.180 b=9.180 c=9.180 alpha=104.95 beta=89.63 gamma=138.45
Atoms (fractional coordinates):
Ac 0.126 0.246 0.372
Ac 0.374 0.746 0.120
Ac 0.626 0.254 0.880
Ac 0.874 0.754 0.628
Al 0.005 0.750 0.255
Al 0.131 0.872 0.003
Al 0.250 0.750 0.500
Al 0.369 0.372 0.742
Al 0.495 0.750 0.745
Al 0.505 0.250 0.255
Al 0.631 0.628 0.258
Al 0.750 0.250 0.500
Al 0.869 0.128 0.997
Al 0.995 0.250 0.745
Hg 0.121 0.636 0.757
Hg 0.250 0.250 0.000
Hg 0.379 0.136 0.515
Hg 0.621 0.864 0.485
Hg 0.750 0.750 0.000
Hg 0.879 0.364 0.243

***

(10)
AcAl2Hg2 | PBE | relaxed

Properties
Polymorph energy (0 for the lowest one) = 0.1095 eV/atom
E_form = -0.258 eV per atom
Total magnetic moment = 0.00 μB per atom
DOS at the Fermi energy = 2.4 states/eV/f.u.

Unit cell a=4.428 b=4.428 c=6.285 alpha=90.00 beta=90.00 gamma=90.00
Atoms (fractional coordinates):
Ac 0.000 0.000 0.000
Al 0.000 0.500 0.500
Al 0.500 0.000 0.500
Hg 0.500 0.500 0.229
Hg 0.500 0.500 0.771

***

(11)
Ac2Al2Hg3 | PBE | relaxed

Properties
E_form = -0.335 eV per atom
Total magnetic moment = 0.00 μB per atom
DOS at the Fermi energy = 6.0 states/eV/f.u.

Unit cell a=10.800 b=10.800 c=7.728 alpha=90.00 beta=90.00 gamma=154.90
Atoms (fractional coordinates):
Ac 0.049 0.951 0.750
Ac 0.164 0.836 0.250
Ac 0.836 0.164 0.750
Ac 0.951 0.049 0.250
Al 0.316 0.684 0.069
Al 0.316 0.684 0.431
Al 0.684 0.316 0.569
Al 0.684 0.316 0.931
Hg 0.218 0.782 0.750
Hg 0.435 0.565 0.563
Hg 0.435 0.565 0.937
Hg 0.565 0.435 0.063
Hg 0.565 0.435 0.437
Hg 0.782 0.218 0.250

***

(12)
AcAlHg | PBE | relaxed

Properties
Polymorph energy (0 for the lowest one) = 0.0000 eV/atom
E_form = -0.416 eV per atom
Total magnetic moment = 0.00 μB per atom
DOS at the Fermi energy = 2.0 states/eV/f.u.

Unit cell a=6.453 b=6.453 c=6.453 alpha=136.61 beta=98.80 gamma=96.92
Atoms (fractional coordinates):
Ac 0.237 0.237 0.000
Ac 0.763 0.763 0.000
Al 0.345 0.000 0.345
Al 0.655 0.000 0.655
Hg 0.184 0.500 0.684
Hg 0.816 0.500 0.316

***

Question: What is the DOS at the Fermi energy in the sixth record?
Answer: 7.5 states/eV/f.u.